Entry 1:
14
Lattice="-4.930 2.269 -5.839 -2.171 -5.648 5.186 0.862 6.532 4.479" Properties=species:S:1:pos:R:3 comment="Ca4SbH2 (PBE, optimized geometry)" rho_g_cm3=2.49 crystal_system=triclinic final_energy_ev_per_atom=-3.189 sg="P1 (1)" pbc="T T T"
Sb 0.000 0.001 0.000
Sb -2.429 -0.403 4.670
Ca -2.681 -1.283 1.781
Ca -5.216 3.338 0.811
Ca -4.598 2.722 -2.699
Ca -2.833 2.536 4.043
Ca -1.983 2.476 -0.331
Ca -5.440 -0.355 -0.411
Ca -3.437 5.685 -1.149
Ca -1.524 5.417 2.234
H -4.132 1.808 -0.622
H -0.389 2.152 4.604
H -3.131 4.221 0.673
H -4.823 -1.881 3.000

=====

Entry 2:
4
Lattice="0.000 3.641 3.641 3.641 0.000 3.641 3.641 3.641 0.000" Properties=species:S:1:pos:R:3 comment="CaSb2H (PBE, optimized geometry)" rho_g_cm3=4.89 relative_energy_ev_per_atom=0.215 crystal_system=cubic final_energy_ev_per_atom=-3.125 sg="Fm-3m (225)" pbc="T T T"
H 0.000 0.000 0.000
Sb 5.462 5.462 5.462
Sb 1.821 1.821 1.821
Ca 3.641 3.641 3.641

=====

Entry 3:
5
Lattice="-3.586 -0.379 2.774 2.414 -2.701 2.752 1.488 3.820 2.445" Properties=species:S:1:pos:R:3 comment="CaSc2SbH (PBE, optimized geometry)" rho_g_cm3=4.25 crystal_system=tetragonal final_energy_ev_per_atom=-4.869 sg="P4/mmm (123)" pbc="T T T"
Sc 1.207 -1.351 1.376
Sc -1.793 -0.189 1.387
Ca 0.744 1.910 1.222
Sb 0.158 0.370 3.985
H 0.000 0.000 0.000

=====

Entry 4:
5
Lattice="5.312 0.000 0.000 0.000 3.684 0.000 0.000 0.000 5.312" Properties=species:S:1:pos:R:3 comment="CaSbHSe2 (PBE, optimized geometry)" rho_g_cm3=5.12 crystal_system=tetragonal final_energy_ev_per_atom=-3.657 sg="P4/mmm (123)" pbc="T T T"
Ca 2.656 1.842 2.656
Se 0.000 0.000 2.656
Se 2.656 0.000 0.000
H 0.000 0.000 0.000
Sb 0.000 1.842 0.000

=====

Entry 5:
10
Lattice="4.842 0.000 0.000 -2.421 6.273 0.000 0.000 0.000 7.140" Properties=species:S:1:pos:R:3 comment="SrCaSbH2 (PBE, optimized geometry)" rho_g_cm3=3.85 crystal_system=orthorhombic final_energy_ev_per_atom=-3.493 sg="Cmcm (63)" pbc="T T T"
Ca 0.000 0.000 0.000
Ca 0.000 0.000 3.570
Sr 0.000 3.441 1.785
Sr 2.421 2.832 5.355
H 0.000 2.243 6.724
H 2.421 4.029 0.416
H 0.000 2.243 3.986
H 2.421 4.029 3.154
Sb 2.421 0.689 1.785
Sb 0.000 5.584 5.355

=====

Entry 6:
5
Lattice="-3.165 4.499 1.983 -1.760 -3.239 4.539 4.546 1.841 3.077" Properties=species:S:1:pos:R:3 comment="CaSb2TeH (PBE, optimized geometry)" rho_g_cm3=3.46 relative_energy_ev_per_atom=0.979 crystal_system=tetragonal final_energy_ev_per_atom=-2.527 sg="P4/mmm (123)" pbc="T T T"
Sb -1.582 2.250 0.992
Sb -0.880 -1.620 2.270
Ca 0.000 0.000 0.000
Te 2.273 0.921 1.538
H -0.190 1.551 4.800

=====

Entry 7:
5
Lattice="-0.800 4.002 -1.802 -4.368 -0.906 -0.073 -0.598 2.427 5.654" Properties=species:S:1:pos:R:3 comment="CaSb2TeH (PBE, optimized geometry)" rho_g_cm3=5.56 relative_energy_ev_per_atom=0.000 crystal_system=tetragonal final_energy_ev_per_atom=-3.506 sg="P4/mmm (123)" pbc="T T T"
Sb -0.400 2.001 -0.901
Sb -2.184 -0.453 -0.037
H 0.000 0.000 0.000
Ca -2.883 2.762 1.889
Te -0.299 1.213 2.827

=====

Entry 8:
5
Lattice="-3.741 0.975 3.116 -3.196 -0.125 -3.798 -0.672 -4.905 0.727" Properties=species:S:1:pos:R:3 comment="CaTl2SbH (PBE, optimized geometry)" rho_g_cm3=7.69 crystal_system=tetragonal final_energy_ev_per_atom=-3.045 sg="P4/mmm (123)" pbc="T T T"
H 0.000 0.000 0.000
Tl -1.598 -0.063 -1.899
Tl -1.871 0.487 1.558
Ca -0.336 -2.453 0.364
Sb -3.805 -2.028 0.023